1 | Computed, not measured: a relaxed Pr7YHo3 crystal at the PBE-GGA level of DFT.

## Properties
The symmetry is No. 12.

abc: 5.956 8.638 8.638
angles: 83.22 110.19 110.19
Fractional positions:
Ho1 0.000 0.795 0.205
Ho2 0.000 0.205 0.795
Ho3 0.500 0.000 0.000
Pr1 0.000 0.500 0.500
Pr2 0.307 0.016 0.597
Pr3 0.209 0.208 0.208
Pr4 0.693 0.984 0.403
Pr5 0.791 0.792 0.792
Pr6 0.307 0.597 0.016
Pr7 0.693 0.403 0.984
Y1 0.500 0.500 0.500

=====

2 | Computed, not measured: a relaxed Pr7YHo3 crystal at the PBE-GGA level of DFT.

## Properties
The symmetry is No. 15.

abc: 10.377 10.377 12.736
angles: 114.71 65.29 139.19
Fractional positions:
Ho1 0.325 0.667 0.774
Ho2 0.675 0.333 0.226
Ho3 0.000 0.000 0.500
Ho4 0.000 0.000 0.000
Ho5 0.333 0.675 0.274
Ho6 0.667 0.325 0.726
Pr1 0.837 0.151 0.772
Pr2 0.580 0.913 0.026
Pr3 0.151 0.837 0.728
Pr4 0.084 0.420 0.029
Pr5 0.916 0.580 0.971
Pr6 0.163 0.849 0.228
Pr7 0.420 0.087 0.974
Pr8 0.289 0.289 0.750
Pr9 0.913 0.580 0.474
Pr10 0.711 0.711 0.250
Pr11 0.580 0.916 0.529
Pr12 0.420 0.084 0.471
Pr13 0.849 0.163 0.272
Pr14 0.087 0.420 0.526
Y1 0.500 0.500 0.000
Y2 0.500 0.500 0.500

=====

Stability ranking, top and bottom: 2 is the most stable and 1 is the least stable.

=====

1 | Computed, not measured: a relaxed PrY3Ho3 crystal at the PBE-GGA level of DFT.

## Properties
The symmetry is No. 160.

abc: 8.217 6.337 6.337
angles: 102.70 115.61 115.61
Fractional positions:
Y1 0.015 0.600 0.600
Y2 0.415 0.400 0.000
Y3 0.415 0.000 0.400
Ho1 0.973 0.000 0.352
Ho2 0.622 0.648 0.648
Ho3 0.973 0.352 0.000
Pr1 0.562 0.000 0.000

=====

2 | Computed, not measured: a relaxed PrY3Ho3 crystal at the PBE-GGA level of DFT.

## Properties
The symmetry is No. 148.

abc: 8.812 8.812 8.812
angles: 59.02 59.02 59.02
Fractional positions:
Y1 0.937 0.272 0.430
Y2 0.570 0.063 0.728
Y3 0.430 0.937 0.272
Y4 0.272 0.430 0.937
Y5 0.728 0.570 0.063
Y6 0.063 0.728 0.570
Pr1 0.351 0.351 0.351
Pr2 0.649 0.649 0.649
Ho1 0.285 0.827 0.064
Ho2 0.715 0.173 0.936
Ho3 0.064 0.285 0.827
Ho4 0.173 0.936 0.715
Ho5 0.827 0.064 0.285
Ho6 0.936 0.715 0.173

=====

Stability ranking, top and bottom: 2 is the most stable and 1 is the least stable.

=====

1 | Computed, not measured: a relaxed Pr2Y2Ho crystal at the PBE-GGA level of DFT.

## Properties
The symmetry is No. 15.

abc: 6.342 8.615 6.871
angles: 103.02 90.00 111.60
Fractional positions:
Pr1 0.019 0.200 0.443
Pr2 0.182 0.200 0.943
Pr3 0.981 0.800 0.557
Pr4 0.818 0.800 0.057
Y1 0.220 0.601 0.848
Y2 0.381 0.601 0.348
Y3 0.619 0.399 0.652
Y4 0.780 0.399 0.152
Ho1 0.415 0.000 0.250
Ho2 0.585 0.000 0.750

=====

2 | Computed, not measured: a relaxed Pr2Y2Ho crystal at the PBE-GGA level of DFT.

## Properties
The symmetry is No. 74.

abc: 5.789 3.688 16.321
angles: 96.49 100.21 90.00
Fractional positions:
Y1 0.459 0.709 0.918
Y2 0.054 0.804 0.108
Y3 0.541 0.291 0.082
Y4 0.946 0.196 0.892
Pr1 0.371 0.121 0.742
Pr2 0.272 0.022 0.544
Pr3 0.728 0.978 0.456
Pr4 0.629 0.879 0.258
Ho1 0.168 0.418 0.337
Ho2 0.832 0.582 0.663

=====

Stability ranking, top and bottom: 1 is the most stable and 2 is the least stable.